Record 1
Below is a relaxed structure of K2VAuSe4, with properties calculated at the PBE level.

Cell: 13.8232 12.3793 7.4097 Å, 84.66 63.08 32.26°
Atoms (fractional coordinates):
1 K 0.0570 0.0570 0.6930
2 K 0.3070 0.3070 0.9430
3 K 0.6930 0.6930 0.0570
4 K 0.9430 0.9430 0.3070
5 V 0.3750 0.3750 0.3750
6 V 0.6250 0.6250 0.6250
7 Au 0.1250 0.1250 0.1250
8 Au 0.8750 0.8750 0.8750
9 Se 0.0013 0.6318 0.5440
10 Se 0.3229 0.5440 0.6318
11 Se 0.3682 0.9987 0.6771
12 Se 0.4560 0.6771 0.9987
13 Se 0.5440 0.3229 0.0013
14 Se 0.6318 0.0013 0.3229
15 Se 0.6771 0.4560 0.3682
16 Se 0.9987 0.3682 0.4560

Calculated values
ΔE_f (raw)   -821 meV/atom
Total DFT energy (no corrections)   -70.2 eV per cell


Record 2
Below is a relaxed structure of KY2AuSe4, with properties calculated at the PBE level.

Cell: 7.3622 7.3622 14.7388 Å, 90.00 90.00 147.05°
Atoms (fractional coordinates):
1 K 0.1266 0.8734 0.7500
2 K 0.8734 0.1266 0.2500
3 Y 0.3696 0.6304 0.5701
4 Y 0.3696 0.6304 0.9299
5 Y 0.6304 0.3696 0.0701
6 Y 0.6304 0.3696 0.4299
7 Au 0.1557 0.8443 0.2500
8 Au 0.8443 0.1557 0.7500
9 Se 0.0000 0.0000 0.0000
10 Se 0.0000 0.0000 0.5000
11 Se 0.2650 0.7350 0.1041
12 Se 0.2650 0.7350 0.3959
13 Se 0.4544 0.5456 0.7500
14 Se 0.5456 0.4544 0.2500
15 Se 0.7350 0.2650 0.6041
16 Se 0.7350 0.2650 0.8959

Calculated values
ΔE_f (raw)   -1443 meV/atom
Total DFT energy (no corrections)   -85.6 eV per cell


Record 3
Below is a relaxed structure of KYAuSe2, with properties calculated at the PBE level.

Cell: 7.6350 4.9727 7.9601 Å, 90.00 98.35 90.00°
Atoms (fractional coordinates):
1 K 0.0000 0.1257 0.2500
2 K 0.0000 0.8743 0.7500
3 Y 0.5000 0.4938 0.7500
4 Y 0.5000 0.5062 0.2500
5 Au 0.5000 0.0000 0.0000
6 Au 0.5000 0.0000 0.5000
7 Se 0.2477 0.3565 0.9670
8 Se 0.2477 0.6435 0.4670
9 Se 0.7523 0.3565 0.5330
10 Se 0.7523 0.6435 0.0330

Calculated values
ΔE_f (raw)   -1102 meV/atom
Total DFT energy (no corrections)   -46.6 eV per cell


Record 4
Below is a relaxed structure of K3Zr3AuSe8, with properties calculated at the PBE level.

Cell: 7.8296 7.8296 8.7488 Å, 113.92 113.92 63.67°
Atoms (fractional coordinates):
1 K 0.0000 0.0000 0.0000
2 K 0.0000 0.5000 0.0000
3 K 0.5000 0.0000 0.0000
4 Zr 0.0000 0.5000 0.5000
5 Zr 0.5000 0.0000 0.5000
6 Zr 0.5000 0.5000 0.5000
7 Au 0.0000 0.0000 0.5000
8 Se 0.2179 0.2179 0.6848
9 Se 0.2536 0.6953 0.7071
10 Se 0.2655 0.2655 0.2979
11 Se 0.3047 0.7464 0.2929
12 Se 0.6953 0.2536 0.7071
13 Se 0.7345 0.7345 0.7021
14 Se 0.7464 0.3047 0.2929
15 Se 0.7821 0.7821 0.3152

Calculated values
ΔE_f (raw)   -1135 meV/atom
Total DFT energy (no corrections)   -77.1 eV per cell


Record 5
Below is a relaxed structure of K2ZrAuSe4, with properties calculated at the PBE level.

Cell: 6.9012 6.9012 6.9012 Å, 111.35 111.35 105.77°
Atoms (fractional coordinates):
1 K 0.0000 0.0000 0.0000
2 K 0.7500 0.2500 0.5000
3 Zr 0.5000 0.5000 0.0000
4 Au 0.2500 0.7500 0.5000
5 Se 0.1720 0.5625 0.0607
6 Se 0.4375 0.4981 0.6095
7 Se 0.5019 0.1113 0.9393
8 Se 0.8887 0.8280 0.3905

Calculated values
ΔE_f (raw)   -910 meV/atom
Total DFT energy (no corrections)   -35.2 eV per cell


Record 6
Below is a relaxed structure of KSi2Au, with properties calculated at the PBE level.

Cell: 4.2750 4.2750 7.2230 Å, 109.60 109.60 55.94°
Atoms (fractional coordinates):
1 K 0.0000 0.0000 0.0000
2 Si 0.1807 0.1807 0.6145
3 Si 0.4548 0.4548 0.3676
4 Au 0.8120 0.8120 0.4744

Calculated values
ΔE_f (raw)   -11 meV/atom
Total DFT energy (no corrections)   -15.3 eV per cell


Record 7
Below is a relaxed structure of KSi2Au, with properties calculated at the PBE level.

Cell: 4.2380 4.2380 4.5745 Å, 90.00 90.00 90.00°
Atoms (fractional coordinates):
1 K 0.0000 0.0000 0.0000
2 Si 0.0000 0.5000 0.5000
3 Si 0.5000 0.0000 0.5000
4 Au 0.5000 0.5000 0.0000

Calculated values
ΔE_f (raw)   559 meV/atom
Total DFT energy (no corrections)   -13.0 eV per cell


Record 8
Below is a relaxed structure of KSi2Au8, with properties calculated at the PBE level.

Cell: 5.6551 5.6551 9.0122 Å, 90.00 90.00 90.00°
Atoms (fractional coordinates):
1 K 0.0000 0.0000 0.0000
2 Si 0.0000 0.5000 0.5000
3 Si 0.5000 0.0000 0.5000
4 Au 0.2510 0.2510 0.3224
5 Au 0.2510 0.2510 0.6776
6 Au 0.2510 0.7490 0.3224
7 Au 0.2510 0.7490 0.6776
8 Au 0.7490 0.2510 0.3224
9 Au 0.7490 0.2510 0.6776
10 Au 0.7490 0.7490 0.3224
11 Au 0.7490 0.7490 0.6776

Calculated values
ΔE_f (raw)   36 meV/atom
Total DFT energy (no corrections)   -37.8 eV per cell